(1)
{
  "formula": "TaCSe2N",
  "functional": "PBE",
  "state": "optimized geometry",
  "dos_at_fermi_per_ev_atom": 0.846,
  "raw_formation_energy_ev_per_atom": 1.34,
  "relative_energy_ev_per_fu": 1.74,
  "total_energy_ev_per_cell": -29.67,
  "lattice_angstrom": [[-1.9789, -4.5965, -1.0676], [3.8081, -2.2392, 2.5823], [-2.1222, 0.1555, 3.2643]],
  "species": ["C", "N", "Se", "Se", "Ta"],
  "fractional_positions": [[0.5000, 0.5000, 0.5000], [0.0000, 0.0000, 0.5000], [0.0000, 0.5000, 0.0000], [0.5000, 0.0000, 0.0000], [0.0000, 0.0000, 0.0000]]
}

(2)
{
  "formula": "Zr2BeBr",
  "functional": "PBE",
  "state": "optimized geometry",
  "dos_at_fermi_per_ev_atom": 0.490,
  "raw_formation_energy_ev_per_atom": 0.03,
  "relative_energy_ev_per_fu": 1.19,
  "total_energy_ev_per_cell": -22.38,
  "lattice_angstrom": [[6.6486, -0.0050, -0.0119], [-2.9222, 3.9777, 0.0090], [0.8042, 1.1777, 2.8272]],
  "species": ["Be", "Br", "Zr", "Zr"],
  "fractional_positions": [[0.0000, 0.5000, 0.5000], [0.5000, 0.5000, 0.0000], [0.0000, 0.0000, 0.0000], [0.5000, 0.0000, 0.5000]]
}

(3)
{
  "formula": "Ho2FeRu",
  "functional": "PBE",
  "state": "optimized geometry",
  "dos_at_fermi_per_ev_atom": 1.406,
  "total_energy_ev_per_cell": -27.36,
  "ef_ev_per_atom": -0.1170,
  "lattice_angstrom": [[-1.0418, -1.5177, 2.8663], [-1.7278, -2.2881, -1.8395], [5.4342, -3.9920, -0.1385]],
  "species": ["Ru", "Ho", "Ho", "Fe"],
  "fractional_positions": [[0.5000, 0.5000, 0.0000], [0.0000, 0.0000, 0.7541], [0.0000, 0.0000, 0.2459], [0.5000, 0.5000, 0.5000]]
}

(4)
{
  "formula": "CsGaSe2",
  "functional": "PBE",
  "state": "optimized geometry",
  "dos_at_fermi_per_ev_atom": 0.000,
  "raw_formation_energy_ev_per_atom": -0.96,
  "total_energy_ev_per_cell": -29.36,
  "lattice_angstrom": [[10.0299, 0.0301, 0.0711], [-2.0614, 6.0600, 0.0003], [4.3710, 1.4866, 4.8142]],
  "species": ["Cs", "Cs", "Se", "Se", "Se", "Se", "Ga", "Ga"],
  "fractional_positions": [[0.3287, 0.8373, 0.7337], [0.3243, 0.3348, 0.2074], [0.0165, 0.1811, 0.9807], [0.0149, 0.6803, 0.5824], [0.6364, 0.9910, 0.9604], [0.6380, 0.4918, 0.3589], [0.8264, 0.8359, 0.9706], [0.8265, 0.3362, 0.9706]]
}